MnNb4O12 GGA+U optimized geometry; final energy = -145.905 eV/cell; space-group type = P1
1.0
-0.1083 4.7774 -1.9901
-4.2386 -1.4815 -3.4203
-5.6813 2.0470 4.8466
O Mn Nb
12 1 4
direct
0.5966 0.5168 0.2605 O
0.1986 0.7398 0.0590 O
0.2993 0.2382 0.0735 O
0.8388 0.6935 0.5939 O
0.1017 0.0735 0.7655 O
0.6923 0.8368 0.9703 O
0.1917 0.3426 0.4882 O
0.3265 0.5282 0.7619 O
0.7293 0.2501 0.5847 O
0.8891 0.0342 0.2780 O
0.3369 0.8489 0.4660 O
0.8149 0.3610 0.9218 O
0.0028 0.3905 0.7062 Mn
0.5123 0.5270 0.4874 Nb
0.0158 0.9912 0.5025 Nb
0.9784 0.0006 0.0239 Nb
0.4749 0.5084 0.9973 Nb